# PBE Tb4Hg2C, optimized geometry
# formation energy from the elements = -340 meV/atom
data_Tb4Hg2C
_cell_length_a 4.944
_cell_length_b 4.944
_cell_length_c 14.856
_cell_angle_alpha 90.00
_cell_angle_beta 90.00
_cell_angle_gamma 90.00
_symmetry_space_group_name_H-M 'I 4/m m m'
_symmetry_Int_Tables_number 139
_symmetry_space_group_name_Hall '-I 4 2'
loop_
_atom_site_label
_atom_site_fract_x
_atom_site_fract_y
_atom_site_fract_z
Tb1 0.000 0.000 0.167
Tb2 0.000 0.500 0.000
Hg1 0.000 0.000 0.369
C1 0.000 0.000 0.000



# PBE LaHgP, optimized geometry
# formation energy from the elements = -357 meV/atom
data_LaHgP
_cell_length_a 6.950
_cell_length_b 6.950
_cell_length_c 6.950
_cell_angle_alpha 90.00
_cell_angle_beta 90.00
_cell_angle_gamma 90.00
_symmetry_space_group_name_H-M 'F -4 3 m'
_symmetry_Int_Tables_number 216
_symmetry_space_group_name_Hall 'F -4 2 3'
loop_
_atom_site_label
_atom_site_fract_x
_atom_site_fract_y
_atom_site_fract_z
La1 0.000 0.000 0.000
Hg1 0.250 0.250 0.750
P1 0.000 0.000 0.500



Look up the formation energy from the elements of the first one. -340 meV/atom



Copy entry 1 word for word.
# PBE Tb4Hg2C, optimized geometry
# formation energy from the elements = -340 meV/atom
data_Tb4Hg2C
_cell_length_a 4.944
_cell_length_b 4.944
_cell_length_c 14.856
_cell_angle_alpha 90.00
_cell_angle_beta 90.00
_cell_angle_gamma 90.00
_symmetry_space_group_name_H-M 'I 4/m m m'
_symmetry_Int_Tables_number 139
_symmetry_space_group_name_Hall '-I 4 2'
loop_
_atom_site_label
_atom_site_fract_x
_atom_site_fract_y
_atom_site_fract_z
Tb1 0.000 0.000 0.167
Tb2 0.000 0.500 0.000
Hg1 0.000 0.000 0.369
C1 0.000 0.000 0.000